CsTm2VF8: optimized geometry, GGA+U.

Volume: 236 Å³ per cell
Uncorrected energy: -71.81 eV per formula unit
Total magnetization: 0.300 μB per atom
Space group: R-3, No. 148

```
CsTm2VF8
1.0
3.024 1.746 7.458
-3.024 1.746 7.458
0.000 -3.492 7.458
Cs Tm V F
1 2 1 8
Direct
0.000 0.000 0.000
0.197 0.197 0.197
0.803 0.803 0.803
0.500 0.500 0.500
0.143 0.836 0.407
0.164 0.593 0.857
0.287 0.287 0.287
0.407 0.143 0.836
0.593 0.857 0.164
0.713 0.713 0.713
0.836 0.407 0.143
0.857 0.164 0.593
```